Below is a geometry-optimized Ca2Zn4As4O17 structure, with properties calculated at the PBE level.

Output
Its symmetry is No. 15. For the formation energy (no corrections), the calculation gives -1.519 eV per atom. For the spin magnetization, the calculation gives 1.97 μB/f.u. For the total energy, the calculation gives -305.99 eV/cell.

Lattice parameters (Å, degrees): 7.8242 10.0011 10.6366 101.49 111.58 90.00
Closest atoms and distances in Å follow each position.
Atoms (fractional coordinates):
Zn 0.2145 0.5113 0.5738  5 O 2.03-2.09
Zn 0.0098 0.7999 0.8176  4 O 1.95-2.04
Zn 0.1922 0.7001 0.1824  4 O 1.95-2.04
Zn 0.9902 0.2001 0.1824  4 O 1.95-2.04
Zn 0.8078 0.2999 0.8176  4 O 1.95-2.04
Zn 0.7855 0.4887 0.4262  5 O 2.03-2.09
Zn 0.3593 0.0113 0.5738  5 O 2.03-2.09
Zn 0.6407 0.9887 0.4262  5 O 2.03-2.09
O 0.2316 0.1551 0.1569  1 As 1.76
O 0.9911 0.3787 0.5313  1 As 1.72
O 0.1454 0.8890 0.1678  1 As 1.74
O 0.6946 0.4654 0.2110  1 As 1.71
O 0.4597 0.1213 0.4687  1 As 1.72
O 0.2978 0.3736 0.4443  1 As 1.71
O 0.3160 0.2500 0.0000  2 Ca 2.34, 2 O 2.36
O 0.7022 0.6264 0.5557  1 As 1.71
O 0.7840 0.8280 0.3821  1 As 1.73
O 0.6271 0.3692 0.6669  1 As 1.73
O 0.3054 0.5346 0.7890  1 As 1.71
O 0.4836 0.0346 0.7890  1 As 1.71
O 0.5981 0.3280 0.3821  1 As 1.73
O 0.7684 0.8449 0.8431  1 As 1.76
O 0.5403 0.8787 0.5313  1 As 1.72
O 0.0747 0.3449 0.8431  1 As 1.76
O 0.0398 0.8692 0.6669  1 As 1.73
O 0.5164 0.9654 0.2110  1 As 1.71
O 0.3729 0.6308 0.3331  1 As 1.73
O 0.8546 0.1110 0.8322  1 As 1.74
O 0.2160 0.1720 0.6179  1 As 1.73
O 0.1465 0.8736 0.4443  1 As 1.71
O 0.2238 0.9353 0.9460  1 As 1.72
O 0.9253 0.6551 0.1569  1 As 1.76
O 0.9602 0.1308 0.3331  1 As 1.73
O 0.0224 0.3890 0.1678  1 As 1.74
O 0.2778 0.5647 0.0540  1 As 1.72
O 0.7222 0.4353 0.9460  1 As 1.72
O 0.9776 0.6110 0.8322  1 As 1.74
O 0.0089 0.6213 0.4687  1 As 1.72
O 0.8535 0.1264 0.5557  1 As 1.71
O 0.7762 0.0647 0.0540  1 As 1.72
O 0.6840 0.7500 0.0000  2 Ca 2.34, 2 O 2.36
O 0.4019 0.6720 0.6179  1 As 1.73
As 0.4999 0.7039 0.5044  4 O 1.71-1.73
As 0.7102 0.0145 0.8769  4 O 1.71-1.76
As 0.9955 0.7961 0.4956  4 O 1.71-1.73
As 0.0045 0.2039 0.5044  4 O 1.71-1.73
As 0.1667 0.5145 0.8769  4 O 1.71-1.76
As 0.5001 0.2961 0.4956  4 O 1.71-1.73
As 0.8333 0.4855 0.1231  4 O 1.71-1.76
As 0.2898 0.9855 0.1231  4 O 1.71-1.76
Ca 0.3575 0.4038 0.2076  6 O 2.34-2.55
Ca 0.1498 0.0962 0.7924  6 O 2.34-2.55
Ca 0.8502 0.9038 0.2076  6 O 2.34-2.55
Ca 0.6425 0.5962 0.7924  6 O 2.34-2.55

=====

Below is a geometry-optimized Ca2ZnAsO6 structure, with properties calculated at the PBE level.

Output
Its symmetry is No. 14. For the formation energy (no corrections), the calculation gives -1.906 eV per atom. For the spin magnetization, the calculation gives 1.09 μB/f.u. For the total energy, the calculation gives -117.47 eV/cell.

Lattice parameters (Å, degrees): 5.4374 5.5627 7.6136 90.00 90.50 90.00
Closest atoms and distances in Å follow each position.
Atoms (fractional coordinates):
As 0.0000 0.5000 0.5000  6 O 1.86-1.87
As 0.5000 0.0000 0.0000  6 O 1.86-1.87
O 0.9111 0.5271 0.2644  1 As 1.86, 1 Zn 2.08
O 0.4111 0.9729 0.7644  1 As 1.86, 1 Zn 2.08
O 0.1865 0.2273 0.4513  1 As 1.86
O 0.5889 0.0271 0.2356  1 As 1.86, 1 Zn 2.08
O 0.7766 0.8087 0.9576  1 As 1.87
O 0.7234 0.3087 0.5424  1 As 1.87
O 0.3135 0.7273 0.0487  1 As 1.86
O 0.2766 0.6913 0.4576  1 As 1.87
O 0.2234 0.1913 0.0424  1 As 1.87
O 0.6865 0.2727 0.9513  1 As 1.86
O 0.8135 0.7727 0.5487  1 As 1.86
O 0.0889 0.4729 0.7356  1 As 1.86, 1 Zn 2.08
Ca 0.0128 0.9474 0.2478  6 O 2.35-2.57
Ca 0.9872 0.0526 0.7522  6 O 2.35-2.57
Ca 0.4872 0.4474 0.2522  6 O 2.35-2.57
Ca 0.5128 0.5526 0.7478  6 O 2.35-2.57
Zn 0.5000 0.0000 0.5000  6 O 2.08-2.15
Zn 0.0000 0.5000 0.0000  6 O 2.08-2.15

=====

Which value of spin magnetization does entry 1 give? 1.97 μB/f.u.

=====

What did the first record say?
Below is a geometry-optimized Ca2Zn4As4O17 structure, with properties calculated at the PBE level.

Output
Its symmetry is No. 15. For the formation energy (no corrections), the calculation gives -1.519 eV per atom. For the spin magnetization, the calculation gives 1.97 μB/f.u. For the total energy, the calculation gives -305.99 eV/cell.

Lattice parameters (Å, degrees): 7.8242 10.0011 10.6366 101.49 111.58 90.00
Closest atoms and distances in Å follow each position.
Atoms (fractional coordinates):
Zn 0.2145 0.5113 0.5738  5 O 2.03-2.09
Zn 0.0098 0.7999 0.8176  4 O 1.95-2.04
Zn 0.1922 0.7001 0.1824  4 O 1.95-2.04
Zn 0.9902 0.2001 0.1824  4 O 1.95-2.04
Zn 0.8078 0.2999 0.8176  4 O 1.95-2.04
Zn 0.7855 0.4887 0.4262  5 O 2.03-2.09
Zn 0.3593 0.0113 0.5738  5 O 2.03-2.09
Zn 0.6407 0.9887 0.4262  5 O 2.03-2.09
O 0.2316 0.1551 0.1569  1 As 1.76
O 0.9911 0.3787 0.5313  1 As 1.72
O 0.1454 0.8890 0.1678  1 As 1.74
O 0.6946 0.4654 0.2110  1 As 1.71
O 0.4597 0.1213 0.4687  1 As 1.72
O 0.2978 0.3736 0.4443  1 As 1.71
O 0.3160 0.2500 0.0000  2 Ca 2.34, 2 O 2.36
O 0.7022 0.6264 0.5557  1 As 1.71
O 0.7840 0.8280 0.3821  1 As 1.73
O 0.6271 0.3692 0.6669  1 As 1.73
O 0.3054 0.5346 0.7890  1 As 1.71
O 0.4836 0.0346 0.7890  1 As 1.71
O 0.5981 0.3280 0.3821  1 As 1.73
O 0.7684 0.8449 0.8431  1 As 1.76
O 0.5403 0.8787 0.5313  1 As 1.72
O 0.0747 0.3449 0.8431  1 As 1.76
O 0.0398 0.8692 0.6669  1 As 1.73
O 0.5164 0.9654 0.2110  1 As 1.71
O 0.3729 0.6308 0.3331  1 As 1.73
O 0.8546 0.1110 0.8322  1 As 1.74
O 0.2160 0.1720 0.6179  1 As 1.73
O 0.1465 0.8736 0.4443  1 As 1.71
O 0.2238 0.9353 0.9460  1 As 1.72
O 0.9253 0.6551 0.1569  1 As 1.76
O 0.9602 0.1308 0.3331  1 As 1.73
O 0.0224 0.3890 0.1678  1 As 1.74
O 0.2778 0.5647 0.0540  1 As 1.72
O 0.7222 0.4353 0.9460  1 As 1.72
O 0.9776 0.6110 0.8322  1 As 1.74
O 0.0089 0.6213 0.4687  1 As 1.72
O 0.8535 0.1264 0.5557  1 As 1.71
O 0.7762 0.0647 0.0540  1 As 1.72
O 0.6840 0.7500 0.0000  2 Ca 2.34, 2 O 2.36
O 0.4019 0.6720 0.6179  1 As 1.73
As 0.4999 0.7039 0.5044  4 O 1.71-1.73
As 0.7102 0.0145 0.8769  4 O 1.71-1.76
As 0.9955 0.7961 0.4956  4 O 1.71-1.73
As 0.0045 0.2039 0.5044  4 O 1.71-1.73
As 0.1667 0.5145 0.8769  4 O 1.71-1.76
As 0.5001 0.2961 0.4956  4 O 1.71-1.73
As 0.8333 0.4855 0.1231  4 O 1.71-1.76
As 0.2898 0.9855 0.1231  4 O 1.71-1.76
Ca 0.3575 0.4038 0.2076  6 O 2.34-2.55
Ca 0.1498 0.0962 0.7924  6 O 2.34-2.55
Ca 0.8502 0.9038 0.2076  6 O 2.34-2.55
Ca 0.6425 0.5962 0.7924  6 O 2.34-2.55

=====

What is the formula in the second record? Ca2ZnAsO6